1.
Density functional theory data (GGA-PBE) for a geometry-optimized Nd4Se5I structure.

Values from the calculation:
- ΔE_f (raw) (eV/atom) = -1.573
- M_tot (μB per formula unit) = 0.977
- E_tot (eV/atom) = -5.38

abc: 7.3265 8.7527 10.7306
angles: 90.00 90.00 90.00
Last column: magnetic moment on the atom in μB.
Fractional positions:
Se: 0.7454 0.7636 0.6978  0.00
Se: 0.2546 0.7364 0.1978  0.00
I: 0.1411 0.5000 0.5000  0.01
Nd: 0.5125 0.7702 0.0000  0.18
Nd: 0.0345 0.0000 0.7242  0.02
Se: 0.7495 0.5000 0.0000  0.01
Se: 0.2546 0.2636 0.1978  0.00
Nd: 0.0345 0.0000 0.2758  0.02
Se: 0.2546 0.2636 0.8022  0.00
Se: 0.2505 0.0000 0.5000  0.01
Se: 0.2546 0.7364 0.8022  0.00
Se: 0.7454 0.7636 0.3022  0.00
Nd: 0.9655 0.5000 0.7758  0.02
Nd: 0.9655 0.5000 0.2242  0.02
Nd: 0.4875 0.2702 0.5000  0.18
Nd: 0.5125 0.2298 0.0000  0.18
I: 0.8589 0.0000 0.0000  0.01
Nd: 0.4875 0.7298 0.5000  0.18
Se: 0.7454 0.2364 0.3022  0.00
Se: 0.7454 0.2364 0.6978  0.00

2.
Density functional theory data (GGA-PBE) for a geometry-optimized Nd6Se8I structure.

Values from the calculation:
- ΔE_f (raw) (eV/atom) = -1.698
- M_tot (μB per formula unit) = 0.000
- E_tot (eV/atom) = -5.57

abc: 4.3083 11.7098 11.7098
angles: 120.00 90.00 90.00
Fractional positions:
Se: 0.7522 0.6667 0.3333
Nd: 0.2540 0.8604 0.5330
Nd: 0.2540 0.4670 0.3274
Nd: 0.7460 0.1396 0.4670
Se: 0.2478 0.3333 0.6667
Se: 0.7545 0.6133 0.9509
Se: 0.7545 0.0491 0.6624
I: 0.5000 0.0000 0.0000
Nd: 0.2540 0.6726 0.1396
Nd: 0.7460 0.5330 0.6726
Se: 0.2455 0.3867 0.0491
Se: 0.2455 0.9509 0.3376
Nd: 0.7460 0.3274 0.8604
Se: 0.7545 0.3376 0.3867
Se: 0.2455 0.6624 0.6133

3.
Density functional theory data (GGA-PBE) for a geometry-optimized Nd3SeI3 structure.

Values from the calculation:
- ΔE_f (raw) (eV/atom) = -1.375
- M_tot (μB per formula unit) = 0.000
- E_tot (eV/atom) = -4.58

abc: 7.3961 7.3961 12.2756
angles: 72.47 72.47 60.00
Fractional positions:
Nd: 0.9546 0.2913 0.1363
I: 0.7726 0.1057 0.6831
I: 0.8943 0.5613 0.3169
Nd: 0.2913 0.6178 0.1363
Nd: 0.0454 0.7087 0.8637
I: 0.4387 0.7726 0.6831
I: 0.2274 0.8943 0.3169
Nd: 0.3822 0.0454 0.8637
Se: 0.3333 0.3333 0.0000
Se: 0.6667 0.6667 0.0000
I: 0.5613 0.2274 0.3169
I: 0.1057 0.4387 0.6831
Nd: 0.7087 0.3822 0.8637
Nd: 0.6178 0.9546 0.1363

4.
Density functional theory data (GGA-PBE) for a geometry-optimized Nd2SeI3 structure.

Values from the calculation:
- ΔE_f (raw) (eV/atom) = -1.446
- M_tot (μB per formula unit) = 0.000
- E_tot (eV/atom) = -4.39

abc: 4.5310 9.4440 11.8204
angles: 72.26 78.95 76.12
Fractional positions:
Se: 0.4196 0.5006 0.6603
I: 0.2326 0.1524 0.3823
I: 0.9525 0.8580 0.2369
Nd: 0.5980 0.2492 0.5549
Se: 0.5804 0.4994 0.3397
I: 0.7674 0.8476 0.6177
Nd: 0.1495 0.5164 0.1846
I: 0.3459 0.2981 0.0101
I: 0.6541 0.7019 0.9899
Nd: 0.4020 0.7508 0.4451
Nd: 0.8505 0.4836 0.8154
I: 0.0475 0.1420 0.7631

5.
Density functional theory data (GGA-PBE) for a geometry-optimized Nd4SiSe2I structure.

Values from the calculation:
- ΔE_f (raw) (eV/atom) = -1.357
- M_tot (μB per formula unit) = 0.000
- E_tot (eV/atom) = -5.48

abc: 4.2822 7.3658 7.7126
angles: 71.15 90.00 90.00
Fractional positions:
Nd: 0.5000 0.7464 0.2767
Se: 0.0000 0.0000 0.0000
Nd: 0.5000 0.2536 0.7233
I: 0.5000 0.5000 0.0000
Nd: 0.0000 0.7666 0.7117
Nd: 0.0000 0.2334 0.2883
Se: 0.5000 0.0000 0.5000
Si: 0.0000 0.5000 0.5000

6.
Density functional theory data (GGA-PBE) for a geometry-optimized Nd6Si2Se3I structure.

Values from the calculation:
- ΔE_f (raw) (eV/atom) = -1.357
- M_tot (μB per formula unit) = 0.000
- E_tot (eV/atom) = -5.65

abc: 4.2684 8.7247 9.5929
angles: 101.81 102.85 90.00
Fractional positions:
Si: 0.1680 0.3356 0.3359
Si: 0.8320 0.6644 0.6641
Nd: 0.0100 0.2830 0.0199
Nd: 0.3216 0.8905 0.6432
Se: 0.8404 0.1616 0.6807
Nd: 0.9900 0.7170 0.9801
Nd: 0.3304 0.4217 0.6608
Nd: 0.6696 0.5783 0.3392
Se: 0.1596 0.8384 0.3193
I: 0.5000 0.0000 0.0000
Nd: 0.6784 0.1095 0.3568
Se: 0.5000 0.5000 0.0000

7.
Density functional theory data (GGA-PBE) for a geometry-optimized NdSmSeI structure.

Values from the calculation:
- ΔE_f (raw) (eV/atom) = -1.321
- M_tot (μB per formula unit) = 0.000
- E_tot (eV/atom) = -4.95

abc: 4.0890 4.0906 8.4372
angles: 90.00 103.96 120.01
Fractional positions:
Nd: 0.4983 0.1471 0.6606
I: 0.9658 0.3809 0.3623
Sm: 0.1082 0.9521 0.0757
Se: 0.3055 0.5507 0.8711

8.
Density functional theory data (GGA-PBE) for a geometry-optimized NdSmSeI structure.

Values from the calculation:
- ΔE_f (raw) (eV/atom) = -1.172
- M_tot (μB per formula unit) = 0.000
- E_tot (eV/atom) = -4.80

abc: 5.3071 5.3071 5.3071
angles: 60.00 60.00 60.00
Fractional positions:
Nd: 0.0000 0.0000 0.0000
I: 0.7500 0.7500 0.7500
Sm: 0.5000 0.5000 0.5000
Se: 0.2500 0.2500 0.2500